Computed, not measured: crystalline Zr3Sc2NbN6 at its relaxed geometry at the PBE level of DFT.

Geometry as POSCAR:
```
Zr3Sc2NbN6
1.0
2.7892 -4.8327 0.0000
2.7892 4.8327 0.0000
-1.8606 0.0000 5.2348
Zr Sc Nb N
3 2 1 6
Cartesian
0.0000 0.0000 0.0000 Zr
2.7892 1.6271 0.0000 Zr
2.7892 -1.6271 0.0000 Zr
1.8589 3.2201 2.6174 Sc
1.8589 -3.2201 2.6174 Sc
1.8589 0.0000 2.6174 Nb
0.9194 1.6300 1.3430 N
-0.0224 0.0000 3.9253 N
0.9194 -1.6300 1.3430 N
2.7984 1.6300 3.8919 N
3.7402 0.0000 1.3095 N
2.7984 -1.6300 3.8919 N
```

Results
Calculated density (g cm⁻³): 6.36
Energy relative to the elements, uncorrected (eV per atom): -1.675
V (Å³ per cell): 141
Space-group type: C2/m (12)
Crystal system: monoclinic

Computed, not measured: crystalline LiMgTa2 at its relaxed geometry at the PBE level of DFT.

Geometry as POSCAR:
```
LiMgTa2
1.0
3.3216 0.0000 0.0000
0.0000 4.7114 0.0000
0.0000 0.0000 9.7650
Li Mg Ta
2 2 4
Cartesian
0.0000 0.0000 0.0000 Li
1.6608 2.3557 0.0000 Li
0.0000 2.3557 2.5380 Mg
1.6608 0.0000 2.5380 Mg
0.0000 0.0000 5.0569 Ta
0.0000 2.3557 7.2609 Ta
1.6608 0.0000 7.2609 Ta
1.6608 2.3557 5.0569 Ta
```

Results
Calculated density (g cm⁻³): 8.54
Energy of formation from the pure elements (eV/atom): 0.164
V (Å³ per cell): 153
Space-group type: Cmm2 (35)
Crystal system: orthorhombic

Computed, not measured: crystalline Dy2BiH2 at its relaxed geometry at the PBE level of DFT.

Geometry as POSCAR:
```
Dy2BiH2
1.0
0.0000 2.8052 5.7633
2.7969 0.0000 5.7633
2.7969 2.8052 0.0000
Dy Bi H
2 1 2
Cartesian
2.7969 2.8052 1.7442 Dy
2.7969 2.8052 9.7824 Dy
2.7969 2.8052 5.7633 Bi
1.3984 1.4026 2.8817 H
4.1953 4.2077 8.6450 H
```

Results
Calculated density (g cm⁻³): 9.84
V (Å³ per cell): 90
Relative energy among the computed polymorphs (eV per formula unit): 0.00
Space-group type: Fmmm (69)
Crystal system: orthorhombic

Computed, not measured: crystalline Tl2TcAs at its relaxed geometry at the PBE level of DFT.

Geometry as POSCAR:
```
Tl2TcAs
1.0
3.2793 0.0000 0.0000
-1.6396 2.8399 0.0000
0.0000 0.0000 29.4778
Tl Tc As
6 3 3
Cartesian
0.0000 0.0000 0.0000 Tl
0.0000 0.0000 6.8698 Tl
0.0000 1.8933 19.6519 Tl
0.0000 1.8933 26.5217 Tl
1.6396 0.9466 9.8259 Tl
1.6396 0.9466 16.6957 Tl
0.0000 0.0000 21.9363 Tc
0.0000 1.8933 12.1104 Tc
1.6396 0.9466 2.2844 Tc
0.0000 0.0000 13.6935 As
0.0000 1.8933 3.8676 As
1.6396 0.9466 23.5195 As
```

Results
Calculated density (g cm⁻³): 10.56
Energy of formation from the pure elements (eV/atom): 0.159
V (Å³ per cell): 275
Relative energy among the computed polymorphs (eV per formula unit): 0.19
Space-group type: R3m (160)
Crystal system: trigonal

Computed, not measured: crystalline Th4GeTeP2 at its relaxed geometry at the PBE level of DFT.

Geometry as POSCAR:
```
Th4GeTeP2
1.0
7.3890 0.0000 0.0000
0.0000 4.2342 0.0000
-2.4305 0.0000 7.0309
Th Ge Te P
4 1 1 2
Cartesian
1.1360 0.0000 1.5459 Th
-0.0764 2.1171 5.4077 Th
5.0349 2.1171 1.6232 Th
3.8225 0.0000 5.4850 Th
-1.2152 0.0000 3.5154 Ge
2.4793 2.1171 3.5154 Te
0.0000 2.1171 0.0000 P
3.6945 0.0000 0.0000 P
```

Results
Calculated density (g cm⁻³): 8.99
Energy relative to the elements, uncorrected (eV per atom): -1.258
V (Å³ per cell): 220
Space-group type: P2/m (10)
Crystal system: monoclinic

Computed, not measured: crystalline KCd6Rh at its relaxed geometry at the PBE level of DFT.

Geometry as POSCAR:
```
KCd6Rh
1.0
8.2218 0.0000 0.0000
0.0000 12.4058 0.0000
-2.8972 0.0000 3.9329
K Cd Rh
2 12 2
Cartesian
0.0000 0.0000 0.0000 K
4.1109 6.2029 0.0000 K
-1.4486 4.7307 1.9665 Cd
-1.4486 7.6751 1.9665 Cd
-0.1897 2.1191 2.8974 Cd
-0.1897 10.2867 2.8974 Cd
1.4034 4.0838 1.0355 Cd
1.4034 8.3220 1.0355 Cd
2.6623 1.4722 1.9665 Cd
2.6623 10.9336 1.9665 Cd
3.9211 4.0838 2.8974 Cd
3.9211 8.3220 2.8974 Cd
5.5143 2.1191 1.0355 Cd
5.5143 10.2867 1.0355 Cd
0.0000 6.2029 0.0000 Rh
4.1109 0.0000 0.0000 Rh
```

Results
Calculated density (g cm⁻³): 6.76
Energy of formation from the pure elements (eV/atom): -0.086
V (Å³ per cell): 401
Space-group type: C2/m (12)
Crystal system: monoclinic

Computed, not measured: crystalline Pm4P2C at its relaxed geometry at the PBE level of DFT.

Geometry as POSCAR:
```
Pm4P2C
1.0
4.8093 0.0000 0.0000
0.0000 4.8093 0.0000
0.0000 0.0000 14.9986
Pm P C
8 4 2
Cartesian
0.0000 0.0000 2.5697 Pm
0.0000 0.0000 12.4289 Pm
0.0000 2.4047 0.0000 Pm
0.0000 2.4047 7.4993 Pm
2.4047 0.0000 0.0000 Pm
2.4047 0.0000 7.4993 Pm
2.4047 2.4047 4.9296 Pm
2.4047 2.4047 10.0690 Pm
0.0000 0.0000 5.4847 P
0.0000 0.0000 9.5139 P
2.4047 2.4047 2.0146 P
2.4047 2.4047 12.9840 P
0.0000 0.0000 0.0000 C
2.4047 2.4047 7.4993 C
```

Results
Calculated density (g cm⁻³): 6.26
Energy of formation from the pure elements (eV/atom): -0.681
V (Å³ per cell): 347
Space-group type: I4/mmm (139)
Crystal system: tetragonal

Computed, not measured: crystalline Rb3Ag2Br4F2 at its relaxed geometry at the PBE level of DFT.

Geometry as POSCAR:
```
Rb3Ag2Br4F2
1.0
-2.6467 2.6467 12.7255
2.6467 -2.6467 12.7255
2.6467 2.6467 -12.7255
Rb Ag Br F
3 2 4 2
Cartesian
0.0000 0.0000 0.0000 Rb
0.0000 0.0000 4.9335 Rb
0.0000 0.0000 20.5175 Rb
0.0000 0.0000 9.8323 Ag
0.0000 0.0000 15.6188 Ag
2.6467 0.0000 2.3645 Br
2.6467 0.0000 10.3610 Br
0.0000 2.6467 2.3645 Br
0.0000 2.6467 10.3610 Br
0.0000 0.0000 7.5265 F
0.0000 0.0000 17.9246 F
```

Results
Calculated density (g cm⁻³): 3.86
Energy relative to the elements, uncorrected (eV per atom): -1.372
V (Å³ per cell): 357
Space-group type: I4/mmm (139)
Crystal system: tetragonal